No. 1
The following is a DFT calculation (PBE) of a relaxed structure of Pr4TePSe2.

- N(E_F) (states/eV/cell) = 3.26
- space-group type = P2/m (10)
- E_form (uncorrected) (eV/atom) = -1.6956
- final energy (eV for the cell shown) = -48.20

a b c (Å): 7.417 4.284 7.629
angles (deg): 90.00 109.02 90.00
Positions (direct):
Pr 0.239 0.000 0.225
Pr 0.255 0.500 0.778
Pr 0.745 0.500 0.222
Pr 0.761 0.000 0.775
Te 0.000 0.000 0.500
P 0.000 0.500 0.000
Se 0.500 0.000 0.000
Se 0.500 0.500 0.500

No. 2
The following is a DFT calculation (PBE) of a relaxed structure of LiBeH6Pb.

- N(E_F) (states/eV/cell) = 1.06
- space-group type = P312 (149)
- final energy (eV for the cell shown) = -27.84

a b c (Å): 4.627 4.627 4.522
angles (deg): 90.00 90.00 120.00
Positions (direct):
Li 0.000 0.000 0.000
Be 0.333 0.667 0.000
H 0.056 0.384 0.206
H 0.056 0.672 0.794
H 0.328 0.384 0.794
H 0.328 0.944 0.206
H 0.616 0.672 0.206
H 0.616 0.944 0.794
Pb 0.667 0.333 0.500

No. 3
The following is a DFT calculation (PBE) of a relaxed structure of Tm2ZrGa.

- N(E_F) (states/eV/cell) = 4.92
- space-group type = R-3m (166)
- ΔH_f (0 K) (eV per atom) = 0.141
- final energy (eV for the cell shown) = -19.95

a b c (Å): 11.316 11.316 11.316
angles (deg): 17.02 17.02 17.02
Positions (direct):
Tm 0.089 0.089 0.089
Tm 0.911 0.911 0.911
Zr 0.500 0.500 0.500
Ga 0.000 0.000 0.000

No. 4
The following is a DFT calculation (PBE) of a relaxed structure of Ba3Ge5I12.

- N(E_F) (states/eV/cell) = 53.83
- space-group type = Ia-3d (230)
- E_form (uncorrected) (eV/atom) = -0.5727
- final energy (eV for the cell shown) = -235.64

a b c (Å): 16.707 16.707 16.707
angles (deg): 109.47 109.47 109.47
Positions (direct):
Ba 0.125 0.250 0.375
Ba 0.125 0.375 0.750
Ba 0.250 0.375 0.125
Ba 0.250 0.875 0.625
Ba 0.375 0.125 0.250
Ba 0.375 0.750 0.125
Ba 0.625 0.250 0.875
Ba 0.625 0.875 0.750
Ba 0.750 0.125 0.375
Ba 0.750 0.625 0.875
Ba 0.875 0.625 0.250
Ba 0.875 0.750 0.625
Ge 0.000 0.000 0.000
Ge 0.000 0.000 0.500
Ge 0.000 0.500 0.000
Ge 0.000 0.500 0.500
Ge 0.125 0.750 0.875
Ge 0.125 0.875 0.250
Ge 0.250 0.125 0.875
Ge 0.250 0.625 0.375
Ge 0.375 0.250 0.625
Ge 0.375 0.625 0.750
Ge 0.500 0.000 0.000
Ge 0.500 0.000 0.500
Ge 0.500 0.500 0.000
Ge 0.500 0.500 0.500
Ge 0.625 0.375 0.250
Ge 0.625 0.750 0.375
Ge 0.750 0.375 0.625
Ge 0.750 0.875 0.125
Ge 0.875 0.125 0.750
Ge 0.875 0.250 0.125
I 0.036 0.209 0.125
I 0.036 0.327 0.911
I 0.084 0.709 0.673
I 0.084 0.875 0.411
I 0.089 0.625 0.416
I 0.089 0.964 0.673
I 0.125 0.036 0.209
I 0.125 0.589 0.916
I 0.173 0.209 0.584
I 0.173 0.464 0.589
I 0.209 0.125 0.036
I 0.209 0.584 0.173
I 0.291 0.327 0.916
I 0.291 0.464 0.375
I 0.327 0.911 0.036
I 0.327 0.916 0.291
I 0.375 0.291 0.464
I 0.375 0.584 0.911
I 0.411 0.084 0.875
I 0.411 0.827 0.536
I 0.416 0.089 0.625
I 0.416 0.827 0.791
I 0.464 0.375 0.291
I 0.464 0.589 0.173
I 0.536 0.411 0.827
I 0.536 0.625 0.709
I 0.584 0.173 0.209
I 0.584 0.911 0.375
I 0.589 0.173 0.464
I 0.589 0.916 0.125
I 0.625 0.416 0.089
I 0.625 0.709 0.536
I 0.673 0.084 0.709
I 0.673 0.089 0.964
I 0.709 0.536 0.625
I 0.709 0.673 0.084
I 0.791 0.416 0.827
I 0.791 0.875 0.964
I 0.827 0.536 0.411
I 0.827 0.791 0.416
I 0.875 0.411 0.084
I 0.875 0.964 0.791
I 0.911 0.036 0.327
I 0.911 0.375 0.584
I 0.916 0.125 0.589
I 0.916 0.291 0.327
I 0.964 0.673 0.089
I 0.964 0.791 0.875

No. 5
The following is a DFT calculation (PBE) of a relaxed structure of PuGaAu4.

- N(E_F) (states/eV/cell) = 36.11
- space-group type = Cmcm (63)
- ΔH_f (0 K) (eV per atom) = -0.225
- final energy (eV for the cell shown) = -63.63

a b c (Å): 7.476 7.476 7.231
angles (deg): 90.00 90.00 140.49
Positions (direct):
Pu 0.119 0.881 0.750
Pu 0.881 0.119 0.250
Ga 0.365 0.635 0.750
Ga 0.635 0.365 0.250
Au 0.091 0.909 0.250
Au 0.284 0.716 0.062
Au 0.284 0.716 0.438
Au 0.500 0.500 0.000
Au 0.500 0.500 0.500
Au 0.716 0.284 0.562
Au 0.716 0.284 0.938
Au 0.909 0.091 0.750

No. 6
The following is a DFT calculation (PBE) of a relaxed structure of NdErMgAu.

- N(E_F) (states/eV/cell) = 2.79
- space-group type = F-43m (216)
- ΔH_f (0 K) (eV per atom) = -0.383
- final energy (eV for the cell shown) = -15.73

a b c (Å): 5.259 5.259 5.259
angles (deg): 60.00 60.00 60.00
Positions (direct):
Nd 0.000 0.000 0.000
Er 0.500 0.500 0.500
Mg 0.250 0.250 0.250
Au 0.750 0.750 0.750

No. 7
The following is a DFT calculation (PBE) of a relaxed structure of Na2ZrRu.

- N(E_F) (states/eV/cell) = 4.45
- space-group type = I-42d (122)
- ΔH_f (0 K) (eV per atom) = 0.424
- final energy (eV for the cell shown) = -37.53

a b c (Å): 12.361 12.361 12.361
angles (deg): 162.18 162.18 25.31
Positions (direct):
Na 0.109 0.625 0.984
Na 0.375 0.359 0.484
Na 0.641 0.125 0.016
Na 0.875 0.891 0.516
Zr 0.250 0.750 0.500
Zr 0.500 0.500 0.000
Ru 0.000 0.000 0.000
Ru 0.750 0.250 0.500

No. 8
The following is a DFT calculation (PBE) of a relaxed structure of RbSr2ScF8.

- N(E_F) (states/eV/cell) = 0.00
- space-group type = P2/m (10)
- E_form (uncorrected) (eV/atom) = -3.6992
- final energy (eV for the cell shown) = -70.02

a b c (Å): 4.418 8.052 5.677
angles (deg): 90.00 97.65 90.00
Positions (direct):
Rb 0.000 0.000 0.000
Sr 0.500 0.254 0.500
Sr 0.500 0.746 0.500
Sc 0.000 0.500 0.000
F 0.056 0.310 0.761
F 0.056 0.690 0.761
F 0.417 0.500 0.217
F 0.456 0.000 0.722
F 0.544 0.000 0.278
F 0.583 0.500 0.783
F 0.944 0.310 0.239
F 0.944 0.690 0.239

No. 9
The following is a DFT calculation (PBE) of a relaxed structure of InCO2F.

- N(E_F) (states/eV/cell) = 0.96
- space-group type = P4/mmm (123)
- E_form (uncorrected) (eV/atom) = 0.1857
- final energy (eV for the cell shown) = -22.82

a b c (Å): 3.634 3.634 3.668
angles (deg): 90.00 90.00 90.00
Positions (direct):
In 0.000 0.000 0.000
C 0.500 0.500 0.500
O 0.000 0.500 0.500
O 0.500 0.000 0.500
F 0.500 0.500 0.000

No. 10
The following is a DFT calculation (PBE) of a relaxed structure of LaErAsSe.

- N(E_F) (states/eV/cell) = 1.88
- space-group type = R3m (160)
- E_form (uncorrected) (eV/atom) = -1.7499
- final energy (eV for the cell shown) = -24.62

a b c (Å): 7.322 7.322 7.322
angles (deg): 33.28 33.28 33.28
Positions (direct):
La 0.000 0.000 0.000
Er 0.507 0.507 0.507
As 0.247 0.247 0.247
Se 0.760 0.760 0.760

No. 11
The following is a DFT calculation (PBE) of a relaxed structure of Ta2FeAu.

- N(E_F) (states/eV/cell) = 4.74
- space-group type = R-3m (166)
- ΔH_f (0 K) (eV per atom) = 0.202
- final energy (eV for the cell shown) = -34.64

a b c (Å): 8.971 8.971 8.971
angles (deg): 18.98 18.98 18.98
Positions (direct):
Ta 0.242 0.242 0.242
Ta 0.758 0.758 0.758
Fe 0.500 0.500 0.500
Au 0.000 0.000 0.000

No. 12
The following is a DFT calculation (PBE) of a relaxed structure of CsSn2F.

- N(E_F) (states/eV/cell) = 3.11
- space-group type = Fm-3m (225)
- E_form (uncorrected) (eV/atom) = -0.0058
- final energy (eV for the cell shown) = -10.75

a b c (Å): 5.591 5.591 5.591
angles (deg): 60.00 60.00 60.00
Positions (direct):
Cs 0.000 0.000 0.000
Sn 0.250 0.250 0.250
Sn 0.750 0.750 0.750
F 0.500 0.500 0.500